The following is a DFT calculation (PBE) of a relaxed Rb2CdAgBr6 crystal. Values from VASP.

Energy relative to the elements, uncorrected: -1.0018 eV per atom
Calculated density: 4.31 Mg/m³
Total magnetization: 0.00 μB per formula unit
ΔE to the lowest computed polymorph: 0.6 kJ/mol of atoms
E: -2.576 eV per atom

```
&SYSTEM
  ibrav = 0, nat = 10, ntyp = 4
/
ATOMIC_SPECIES
Br 79.90 Br.upf
Cd 112.41 Cd.upf
Ag 107.87 Ag.upf
Rb 85.47 Rb.upf
ATOMIC_POSITIONS crystal
Br 0.2503 0.2503 0.0000
Br 0.7481 0.7481 0.5039
Br 0.2519 0.2519 0.4961
Br 0.2503 0.7497 0.0000
Br 0.7497 0.2503 0.0000
Br 0.7497 0.7497 0.0000
Cd 0.0000 0.0000 0.0000
Ag 0.5000 0.5000 0.0000
Rb 0.7500 0.2500 0.5000
Rb 0.2500 0.7500 0.5000
CELL_PARAMETERS angstrom
7.8056 0.0000 0.0000
0.0000 7.8056 0.0000
3.9028 3.9028 5.5085
```

The following is a DFT calculation (PBE) of a relaxed RbCdAgBr4 crystal. Values from VASP.

Energy relative to the elements, uncorrected: -0.9452 eV per atom
Calculated density: 4.12 Mg/m³
Total magnetization: 0.00 μB per formula unit
E: -2.577 eV per atom

```
&SYSTEM
  ibrav = 0, nat = 14, ntyp = 4
/
ATOMIC_SPECIES
Rb 85.47 Rb.upf
Br 79.90 Br.upf
Ag 107.87 Ag.upf
Cd 112.41 Cd.upf
ATOMIC_POSITIONS crystal
Rb 0.7742 0.7500 0.9323
Rb 0.2258 0.2500 0.0677
Br 0.4927 0.2500 0.4403
Br 0.3720 0.7500 0.1027
Br 0.6280 0.2500 0.8973
Br 0.5073 0.7500 0.5597
Br 0.0522 0.4988 0.7252
Br 0.9478 0.9988 0.2748
Br 0.9478 0.5012 0.2748
Br 0.0522 0.0012 0.7252
Ag 0.2946 0.2500 0.6572
Ag 0.7054 0.7500 0.3428
Cd 0.2051 0.7500 0.3395
Cd 0.7949 0.2500 0.6605
CELL_PARAMETERS angstrom
-4.4927 0.1089 5.4487
5.5536 -3.1619 4.6423
4.1584 8.2393 0.6371
```

The following is a DFT calculation (PBE) of a relaxed Rb2CdAgBr crystal. Values from VASP.

Energy relative to the elements, uncorrected: -0.2657 eV per atom
Calculated density: 3.20 Mg/m³
Total magnetization: 0.00 μB per formula unit
E: -1.741 eV per atom

```
&SYSTEM
  ibrav = 0, nat = 5, ntyp = 4
/
ATOMIC_SPECIES
Cd 112.41 Cd.upf
Rb 85.47 Rb.upf
Br 79.90 Br.upf
Ag 107.87 Ag.upf
ATOMIC_POSITIONS crystal
Cd 0.5000 0.5000 0.5000
Rb 0.0000 0.0000 0.5000
Rb 0.5000 0.0000 0.0000
Br 0.0000 0.0000 0.0000
Ag 0.0000 0.5000 0.0000
CELL_PARAMETERS angstrom
-3.0485 -0.6941 5.8052
4.4170 -2.8578 1.9779
2.7075 5.6351 2.0956
```

The following is a DFT calculation (PBE) of a relaxed Rb3CdAg2Br8 crystal. Values from VASP.

Energy relative to the elements, uncorrected: -0.9740 eV per atom
Calculated density: 3.87 Mg/m³
Total magnetization: 0.00 μB per formula unit
E: -2.610 eV per atom

```
&SYSTEM
  ibrav = 0, nat = 14, ntyp = 4
/
ATOMIC_SPECIES
Rb 85.47 Rb.upf
Br 79.90 Br.upf
Ag 107.87 Ag.upf
Cd 112.41 Cd.upf
ATOMIC_POSITIONS crystal
Rb 0.6667 0.3333 0.3896
Rb 0.3333 0.6667 0.6104
Rb 0.0000 0.0000 0.0000
Br 0.1629 0.8371 0.3300
Br 0.3333 0.6667 0.9387
Br 0.8371 0.1629 0.6700
Br 0.6743 0.8371 0.3300
Br 0.1629 0.3257 0.3300
Br 0.3257 0.1629 0.6700
Br 0.6667 0.3333 0.0613
Br 0.8371 0.6743 0.6700
Ag 0.6667 0.3333 0.8127
Ag 0.3333 0.6667 0.1873
Cd 0.0000 0.0000 0.5000
CELL_PARAMETERS angstrom
7.7348 0.0000 0.0000
-3.8674 6.6985 0.0000
0.0000 0.0000 10.1284
```

The following is a DFT calculation (PBE) of a relaxed Rb3CdAg2Br9 crystal. Values from VASP.

Energy relative to the elements, uncorrected: -0.9590 eV per atom
Calculated density: 4.37 Mg/m³
Total magnetization: 0.00 μB per formula unit
E: -2.597 eV per atom

```
&SYSTEM
  ibrav = 0, nat = 15, ntyp = 4
/
ATOMIC_SPECIES
Ag 107.87 Ag.upf
Br 79.90 Br.upf
Rb 85.47 Rb.upf
Cd 112.41 Cd.upf
ATOMIC_POSITIONS crystal
Ag 0.6667 0.3333 0.8386
Ag 0.3333 0.6667 0.1614
Br 0.8327 0.1673 0.6700
Br 0.5000 0.5000 0.0000
Br 0.8327 0.6654 0.6700
Br 0.5000 0.0000 0.0000
Br 0.0000 0.5000 0.0000
Br 0.1673 0.3346 0.3300
Br 0.6654 0.8327 0.3300
Br 0.3346 0.1673 0.6700
Br 0.1673 0.8327 0.3300
Rb 0.6667 0.3333 0.3348
Rb 0.3333 0.6667 0.6652
Rb 0.0000 0.0000 0.0000
Cd 0.0000 0.0000 0.5000
CELL_PARAMETERS angstrom
-7.0115 -0.8440 3.1998
6.2351 -3.0329 3.4694
1.2391 8.0965 4.8509
```

The following is a DFT calculation (PBE) of a relaxed RbCd3Ag4Br12 crystal. Values from VASP.

Energy relative to the elements, uncorrected: -0.6345 eV per atom
Calculated density: 4.29 Mg/m³
Total magnetization: 0.00 μB per formula unit
E: -2.394 eV per atom

```
&SYSTEM
  ibrav = 0, nat = 20, ntyp = 4
/
ATOMIC_SPECIES
Br 79.90 Br.upf
Rb 85.47 Rb.upf
Ag 107.87 Ag.upf
Cd 112.41 Cd.upf
ATOMIC_POSITIONS crystal
Br 0.9820 0.2588 0.3413
Br 0.0853 0.9147 0.5000
Br 0.3279 0.6721 0.5000
Br 0.5000 0.0853 0.9147
Br 0.9147 0.5000 0.0853
Br 0.2588 0.3413 0.9820
Br 0.5000 0.3279 0.6721
Br 0.6587 0.7412 0.0180
Br 0.3413 0.9820 0.2588
Br 0.6721 0.5000 0.3279
Br 0.0180 0.6587 0.7412
Br 0.7412 0.0180 0.6587
Rb 0.0000 0.0000 0.0000
Ag 0.5000 0.5000 0.5000
Ag 0.5000 0.9032 0.0968
Ag 0.0968 0.5000 0.9032
Ag 0.9032 0.0968 0.5000
Cd 0.0000 0.5755 0.4245
Cd 0.5755 0.4245 0.0000
Cd 0.4245 0.0000 0.5755
CELL_PARAMETERS angstrom
-2.9224 1.9562 8.7451
1.6894 -9.2686 -0.2906
8.3068 4.3121 -1.1171
```